# RbLaPt2Br

An optimized crystal structure of RbLaPt2Br (PBEsol, Alexandria via LeMat-Bulk).

Cell: 4.9502 4.9502 5.9046 Å, 90.00 90.00 90.00°
Last column: nearest neighbours and their distance in Å.
Element x y z (fractional)
Pt 0.0000 0.5000 0.0000  2 Rb 2.48
Pt 0.5000 0.0000 0.0000  2 Rb 2.48
La 0.0000 0.0000 0.5000  2 Rb 2.95
Br 0.5000 0.5000 0.5000  4 La 3.50, 8 Pt 3.85
Rb 0.0000 0.0000 0.0000  4 Pt 2.48

The formation energy from raw total energies is 1.25 eV/atom. The value obtained for the electronic total energy is -3.188 eV per atom. For the volume, the calculation gives 144.7 Å³/cell.